one:
# ZrInAs3

ZrInAs3 after structural relaxation (PBE, Alexandria via LeMat-Bulk).

## Properties
* space group: No. 221
* N(E_F): 6.562 states/eV/cell

a = 5.2273 Å, b = 5.2273 Å, c = 5.2273 Å
α = 90.00°, β = 90.00°, γ = 90.00°
Atoms (fractional coordinates):
Zr  0.0000  0.0000  0.0000
In  0.5000  0.5000  0.5000
As  0.0000  0.0000  0.5000
As  0.0000  0.5000  0.0000
As  0.5000  0.0000  0.0000

---

two:
# ZrInAs3

ZrInAs3 after structural relaxation (PBE, Alexandria via LeMat-Bulk).

## Properties
* space group: No. 221
* N(E_F): 4.817 states/eV/cell

a = 5.0800 Å, b = 5.0800 Å, c = 5.0800 Å
α = 90.00°, β = 90.00°, γ = 90.00°
Atoms (fractional coordinates):
Zr  0.0000  0.0000  0.0000
In  0.5000  0.5000  0.5000
As  0.0000  0.5000  0.5000
As  0.5000  0.0000  0.5000
As  0.5000  0.5000  0.0000

---

Going by the energies, one is most stable and the next is 0.762 eV/atom up.

---

one:
# Zr2InAs2

Zr2InAs2 after structural relaxation (PBE, Alexandria via LeMat-Bulk).

## Properties
* space group: No. 127
* N(E_F): 13.234 states/eV/cell

a = 7.6636 Å, b = 7.6636 Å, c = 3.5252 Å
α = 90.00°, β = 90.00°, γ = 90.00°
Atoms (fractional coordinates):
Zr  0.1489  0.3511  0.0000
Zr  0.3511  0.8511  0.0000
Zr  0.6489  0.1489  0.0000
Zr  0.8511  0.6489  0.0000
In  0.0000  0.0000  0.5000
In  0.5000  0.5000  0.5000
As  0.1411  0.6411  0.5000
As  0.3589  0.1411  0.5000
As  0.6411  0.8589  0.5000
As  0.8589  0.3589  0.5000

---

two:
# Zr2InAs2

Zr2InAs2 after structural relaxation (PBE, Alexandria via LeMat-Bulk).

## Properties
* space group: No. 127
* N(E_F): 7.549 states/eV/cell

a = 7.6636 Å, b = 7.6636 Å, c = 3.5749 Å
α = 90.00°, β = 90.00°, γ = 90.00°
Atoms (fractional coordinates):
Zr  0.1471  0.3529  0.0000
Zr  0.3529  0.8529  0.0000
Zr  0.6471  0.1471  0.0000
Zr  0.8529  0.6471  0.0000
In  0.0000  0.0000  0.0000
In  0.5000  0.5000  0.0000
As  0.1471  0.6471  0.5000
As  0.3529  0.1471  0.5000
As  0.6471  0.8529  0.5000
As  0.8529  0.3529  0.5000

---

three:
# Zr2InAs2

Zr2InAs2 after structural relaxation (PBE, Alexandria via LeMat-Bulk).

## Properties
* space group: No. 139
* N(E_F): 3.970 states/eV/cell

a = 5.6197 Å, b = 5.6197 Å, c = 5.6197 Å
α = 125.83°, β = 125.83°, γ = 80.16°
Atoms (fractional coordinates):
Zr  0.2500  0.7500  0.5000
Zr  0.7500  0.2500  0.5000
In  0.0000  0.0000  0.0000
As  0.3527  0.3527  0.0000
As  0.6473  0.6473  0.0000

---

Going by the energies, two is most stable and the next is 0.015 eV/atom up.

---

one:
# As3Ir

As3Ir after structural relaxation (PBE, Alexandria via LeMat-Bulk).

## Properties
* space group: No. 123
* N(E_F): 1.927 states/eV/cell

a = 4.7636 Å, b = 4.7636 Å, c = 2.9968 Å
α = 90.00°, β = 90.00°, γ = 90.00°
Atoms (fractional coordinates):
As  0.0000  0.0000  0.0000
As  0.0000  0.5000  0.5000
As  0.5000  0.0000  0.5000
Ir  0.5000  0.5000  0.0000

---

two:
# As3Ir

As3Ir after structural relaxation (PBE, Alexandria via LeMat-Bulk).

## Properties
* space group: No. 63
* N(E_F): 3.026 states/eV/cell

a = 5.5951 Å, b = 5.5951 Å, c = 5.2536 Å
α = 90.00°, β = 90.00°, γ = 98.40°
Atoms (fractional coordinates):
As  0.0250  0.9750  0.7500
As  0.0396  0.4750  0.2500
As  0.4750  0.0396  0.7500
As  0.5250  0.9604  0.2500
As  0.9604  0.5250  0.7500
As  0.9750  0.0250  0.2500
Ir  0.4688  0.5312  0.2500
Ir  0.5312  0.4688  0.7500

---

Going by the energies, two is most stable and the next is 0.207 eV/atom up.

---

one:
# As3Ir

As3Ir after structural relaxation (PBE, Alexandria via LeMat-Bulk).

## Properties
* space group: No. 25
* N(E_F): 2.745 states/eV/cell

a = 3.6047 Å, b = 4.0521 Å, c = 5.2910 Å
α = 90.00°, β = 90.00°, γ = 90.00°
Atoms (fractional coordinates):
As  0.0000  0.0000  0.0000
As  0.0000  0.5000  0.3268
As  0.5000  0.0000  0.6427
Ir  0.5000  0.5000  0.9798

---

two:
# As3Ir

As3Ir after structural relaxation (PBE, Alexandria via LeMat-Bulk).

## Properties
* space group: No. 166
* N(E_F): 2.654 states/eV/cell

a = 6.7105 Å, b = 6.7105 Å, c = 6.7105 Å
α = 31.56°, β = 31.56°, γ = 31.56°
Atoms (fractional coordinates):
As  0.0000  0.0000  0.0000
As  0.2419  0.2419  0.2419
As  0.7581  0.7581  0.7581
Ir  0.5000  0.5000  0.5000

---

Going by the energies, two is most stable and the next is 0.146 eV/atom up.

---

one:
# As3Ir

As3Ir after structural relaxation (PBE, Alexandria via LeMat-Bulk).

## Properties
* space group: No. 194
* N(E_F): 5.149 states/eV/cell

a = 7.6366 Å, b = 7.6366 Å, c = 3.0868 Å
α = 90.00°, β = 90.00°, γ = 120.00°
Atoms (fractional coordinates):
As  0.1806  0.3611  0.2500
As  0.1806  0.8194  0.2500
As  0.3611  0.1806  0.7500
As  0.6389  0.8194  0.2500
As  0.8194  0.1806  0.7500
As  0.8194  0.6389  0.7500
Ir  0.3333  0.6667  0.7500
Ir  0.6667  0.3333  0.2500

---

two:
# As3Ir

As3Ir after structural relaxation (PBE, Alexandria via LeMat-Bulk).

## Properties
* space group: No. 63
* N(E_F): 3.316 states/eV/cell

a = 7.1385 Å, b = 7.1385 Å, c = 3.7760 Å
α = 90.00°, β = 90.00°, γ = 75.79°
Atoms (fractional coordinates):
As  0.1474  0.8526  0.7500
As  0.1979  0.5005  0.7500
As  0.5005  0.1979  0.2500
As  0.4995  0.8021  0.7500
As  0.8021  0.4995  0.2500
As  0.8526  0.1474  0.2500
Ir  0.3886  0.6114  0.2500
Ir  0.6114  0.3886  0.7500

---

three:
# As3Ir

As3Ir after structural relaxation (PBE, Alexandria via LeMat-Bulk).

## Properties
* space group: No. 123
* N(E_F): 2.863 states/eV/cell

a = 2.9311 Å, b = 2.9311 Å, c = 8.4782 Å
α = 90.00°, β = 90.00°, γ = 90.00°
Atoms (fractional coordinates):
As  0.0000  0.0000  0.0000
As  0.5000  0.5000  0.2984
As  0.5000  0.5000  0.7016
Ir  0.0000  0.0000  0.5000

---

four:
# As3Ir

As3Ir after structural relaxation (PBE, Alexandria via LeMat-Bulk).

## Properties
* space group: No. 166
* N(E_F): 2.618 states/eV/cell

a = 5.2188 Å, b = 5.2188 Å, c = 5.2188 Å
α = 116.29°, β = 116.29°, γ = 116.29°
Atoms (fractional coordinates):
As  0.0000  0.5000  0.5000
As  0.5000  0.0000  0.5000
As  0.5000  0.5000  0.0000
Ir  0.0000  0.0000  0.0000

---

Going by the energies, two is most stable and the next is 0.040 eV/atom up.

---

one:
# As3Ir

As3Ir after structural relaxation (PBE, Alexandria via LeMat-Bulk).

## Properties
* space group: No. 71
* N(E_F): 2.708 states/eV/cell

a = 6.1427 Å, b = 6.1427 Å, c = 6.1427 Å
α = 151.53°, β = 137.08°, γ = 52.31°
Atoms (fractional coordinates):
As  0.0000  0.0000  0.0000
As  0.3094  0.8094  0.5000
As  0.6906  0.1906  0.5000
Ir  0.5000  0.5000  0.0000

---

two:
# As3Ir

As3Ir after structural relaxation (PBE, Alexandria via LeMat-Bulk).

## Properties
* space group: No. 221
* N(E_F): 7.637 states/eV/cell

a = 4.9023 Å, b = 4.9023 Å, c = 4.9023 Å
α = 90.00°, β = 90.00°, γ = 90.00°
Atoms (fractional coordinates):
As  0.0000  0.0000  0.5000
As  0.0000  0.5000  0.0000
As  0.5000  0.0000  0.0000
Ir  0.0000  0.0000  0.0000

---

three:
# As3Ir

As3Ir after structural relaxation (PBE, Alexandria via LeMat-Bulk).

## Properties
* space group: No. 62
* N(E_F): 1.784 states/eV/cell

a = 5.9711 Å, b = 10.0969 Å, c = 5.9671 Å
α = 90.00°, β = 90.00°, γ = 90.00°
Atoms (fractional coordinates):
As  0.0069  0.2500  0.1318
As  0.2421  0.1257  0.6329
As  0.2421  0.3743  0.6329
As  0.2579  0.6257  0.1329
As  0.2579  0.8743  0.1329
As  0.4931  0.7500  0.6318
As  0.5069  0.2500  0.3682
As  0.7421  0.1257  0.8671
As  0.7421  0.3743  0.8671
As  0.7579  0.6257  0.3671
As  0.7579  0.8743  0.3671
As  0.9931  0.7500  0.8682
Ir  0.1124  0.7500  0.4768
Ir  0.3876  0.2500  0.9768
Ir  0.6124  0.7500  0.0232
Ir  0.8876  0.2500  0.5232

---

four:
# As3Ir

As3Ir after structural relaxation (PBE, Alexandria via LeMat-Bulk).

## Properties
* space group: No. 59
* N(E_F): 4.012 states/eV/cell

a = 3.8103 Å, b = 7.9628 Å, c = 5.1309 Å
α = 90.00°, β = 90.00°, γ = 90.00°
Atoms (fractional coordinates):
As  0.2500  0.0763  0.2054
As  0.2500  0.2500  0.6501
As  0.2500  0.4237  0.2054
As  0.7500  0.5763  0.7946
As  0.7500  0.7500  0.3499
As  0.7500  0.9237  0.7946
Ir  0.2500  0.7500  0.0401
Ir  0.7500  0.2500  0.9599

---

Going by the energies, three is most stable and the next is 0.106 eV/atom up.

---

one:
# As3Ir

As3Ir after structural relaxation (PBE, Alexandria via LeMat-Bulk).

## Properties
* space group: No. 223
* N(E_F): 3.269 states/eV/cell

a = 5.2138 Å, b = 5.2138 Å, c = 5.2138 Å
α = 90.00°, β = 90.00°, γ = 90.00°
Atoms (fractional coordinates):
As  0.0000  0.2500  0.5000
As  0.0000  0.7500  0.5000
As  0.2500  0.5000  0.0000
As  0.5000  0.0000  0.2500
As  0.5000  0.0000  0.7500
As  0.7500  0.5000  0.0000
Ir  0.0000  0.0000  0.0000
Ir  0.5000  0.5000  0.5000

---

two:
# As3Ir

As3Ir after structural relaxation (PBE, Alexandria via LeMat-Bulk).

## Properties
* space group: No. 65
* N(E_F): 2.355 states/eV/cell

a = 4.8332 Å, b = 4.8332 Å, c = 3.9417 Å
α = 90.00°, β = 90.00°, γ = 121.05°
Atoms (fractional coordinates):
As  0.0000  0.0000  0.0000
As  0.3101  0.6899  0.5000
As  0.6899  0.3101  0.5000
Ir  0.5000  0.5000  0.0000

---

Going by the energies, two is most stable and the next is 0.476 eV/atom up.

---

one:
# As3Ir

As3Ir after structural relaxation (PBE, Alexandria via LeMat-Bulk).

## Properties
* space group: No. 194
* N(E_F): 7.638 states/eV/cell

a = 6.1487 Å, b = 6.1487 Å, c = 8.6755 Å
α = 90.00°, β = 90.00°, γ = 120.00°
Atoms (fractional coordinates):
As  0.0000  0.5000  0.0000
As  0.0000  0.5000  0.5000
As  0.1486  0.2972  0.2500
As  0.1486  0.8514  0.2500
As  0.2972  0.1486  0.7500
As  0.5000  0.0000  0.0000
As  0.5000  0.0000  0.5000
As  0.5000  0.5000  0.0000
As  0.5000  0.5000  0.5000
As  0.7028  0.8514  0.2500
As  0.8514  0.1486  0.7500
As  0.8514  0.7028  0.7500
Ir  0.0000  0.0000  0.0000
Ir  0.0000  0.0000  0.5000
Ir  0.3333  0.6667  0.7500
Ir  0.6667  0.3333  0.2500

---

two:
# As3Ir

As3Ir after structural relaxation (PBE, Alexandria via LeMat-Bulk).

## Properties
* space group: No. 65
* N(E_F): 2.015 states/eV/cell

a = 4.6857 Å, b = 4.6857 Å, c = 3.2086 Å
α = 90.00°, β = 90.00°, γ = 103.66°
Atoms (fractional coordinates):
As  0.0000  0.0000  0.0000
As  0.0000  0.5000  0.5000
As  0.5000  0.0000  0.5000
Ir  0.5000  0.5000  0.0000

---

Going by the energies, two is most stable and the next is 0.036 eV/atom up.